[1]
Computed, not measured: a geometry-optimized Ca2BiF structure at the PBE level of DFT.

abc: 7.1911 6.7360 9.1139
angles: 90.00 101.74 90.00
Fractional coordinates of all 16 atoms:
F (0.6577, 0.9553, 0.5995)
F (0.3423, 0.0447, 0.4005)
F (0.1577, 0.5447, 0.5995)
F (0.8423, 0.4553, 0.4005)
Ca (0.1174, 0.2595, 0.4562)
Ca (0.2205, 0.4936, 0.8580)
Ca (0.3826, 0.7595, 0.5438)
Ca (0.7205, 0.0064, 0.8580)
Ca (0.7795, 0.5064, 0.1420)
Ca (0.8826, 0.7405, 0.5438)
Ca (0.6174, 0.2405, 0.4562)
Ca (0.2795, 0.9936, 0.1420)
Bi (0.1887, 0.0114, 0.7833)
Bi (0.8113, 0.9886, 0.2167)
Bi (0.3113, 0.5114, 0.2167)
Bi (0.6887, 0.4886, 0.7833)

- uncorrected formation energy (eV/atom) = -2.00
- space group = P2_1/c
- polymorph energy (0 for the lowest one) (meV per atom) = 0
- mass density (g/cm³) = 4.74

---

[2]
Computed, not measured: a geometry-optimized Ca2BiF structure at the PBE level of DFT.

abc: 4.9525 4.9525 7.7674
angles: 71.41 71.41 60.00
Fractional coordinates of all 4 atoms:
Ca (0.9011, 0.9011, 0.2968)
Ca (0.0989, 0.0989, 0.7032)
F (0.0000, 0.0000, 0.0000)
Bi (0.5000, 0.5000, 0.5000)

- uncorrected formation energy (eV/atom) = -1.88
- space group = R-3m
- polymorph energy (0 for the lowest one) (meV per atom) = 120
- mass density (g/cm³) = 3.34

---

[3]
Computed, not measured: a geometry-optimized Ca5Bi4F structure at the PBE level of DFT.

abc: 6.4931 7.6752 7.6752
angles: 79.69 64.98 64.98
Fractional coordinates of all 10 atoms:
Ca (0.1041, 0.6353, 0.1579)
Ca (0.8973, 0.3647, 0.8421)
Ca (0.2620, 0.8421, 0.6353)
Ca (0.7394, 0.1579, 0.3647)
Ca (0.4262, 0.0000, 0.0000)
Bi (0.4244, 0.3953, 0.7626)
Bi (0.5824, 0.6047, 0.2374)
Bi (0.1871, 0.2374, 0.3953)
Bi (0.8197, 0.7626, 0.6047)
F (0.0678, 0.0000, 0.0000)

- uncorrected formation energy (eV/atom) = -1.04
- space group = I4
- mass density (g/cm³) = 5.58

---

[4]
Computed, not measured: a geometry-optimized CaBiH2F8 structure at the PBE level of DFT.

abc: 3.9716 4.9061 8.4481
angles: 90.02 90.01 63.45
Site moments in Bohr magnetons follow the coordinates.
Fractional coordinates of all 12 atoms:
F (0.6591, 0.7200, 0.0002)  0.00
F (0.3411, 0.2626, 0.4999)  0.30
F (0.3409, 0.2800, 0.9998)  0.00
F (0.2178, 0.7186, 0.2436)  0.00
F (0.6589, 0.7374, 0.5001)  0.30
F (0.7822, 0.2814, 0.7564)  0.00
F (0.2177, 0.7190, 0.7565)  0.00
F (0.7823, 0.2810, 0.2435)  0.00
Ca (0.0000, 0.0000, 0.5000)  -0.01
Bi (0.0000, 0.0000, 0.0000)  0.00
H (0.4998, 0.5000, 0.2421)  0.00
H (0.5002, 0.5000, 0.7579)  0.00

- space group = P2/m
- mass density (g/cm³) = 4.55

---

[5]
Computed, not measured: a geometry-optimized Ca2HgBiF structure at the PBE level of DFT.

abc: 5.9618 5.4806 5.9618
angles: 90.00 90.00 90.00
Fractional coordinates of all 5 atoms:
Bi (0.0000, 0.5000, 0.0000)
Ca (0.0000, 0.0000, 0.5000)
Ca (0.5000, 0.0000, 0.0000)
Hg (0.0000, 0.0000, 0.0000)
F (0.5000, 0.5000, 0.5000)

- uncorrected formation energy (eV/atom) = -0.46
- space group = P4/mmm
- mass density (g/cm³) = 4.34

---

[6]
Computed, not measured: a geometry-optimized KCaBiF6 structure at the PBE level of DFT.

abc: 6.2436 6.2436 10.5004
angles: 90.00 90.00 120.00
Fractional coordinates of all 18 atoms:
K (0.0000, 0.0000, 0.0000)
K (0.0000, 0.0000, 0.5000)
F (0.3674, 0.9998, 0.1406)
F (0.6326, 0.0002, 0.8594)
F (0.3674, 0.3676, 0.3594)
F (0.6326, 0.6324, 0.6406)
F (0.0002, 0.6326, 0.3594)
F (0.6324, 0.6326, 0.1406)
F (0.9998, 0.6324, 0.8594)
F (0.3676, 0.3674, 0.8594)
F (0.9998, 0.3674, 0.6406)
F (0.0002, 0.3676, 0.1406)
F (0.3676, 0.0002, 0.6406)
F (0.6324, 0.9998, 0.3594)
Ca (0.6667, 0.3333, 0.7500)
Ca (0.3333, 0.6667, 0.2500)
Bi (0.3333, 0.6667, 0.7500)
Bi (0.6667, 0.3333, 0.2500)

- uncorrected formation energy (eV/atom) = -3.01
- space group = P-31c
- mass density (g/cm³) = 3.77

---

no.,V (Å³ per atom),DFT total energy (Ry per atom)
1,27.01,-0.3264
2,38.35,-0.3176
3,31.41,-0.2777
4,12.27,-0.3361
5,38.96,-0.1815
6,19.69,-0.3700